(1)
CrBiPO2: relaxed, GGA+U.

Cell: 4.1325 4.1325 5.5531 Å, 90.00 90.00 90.00°
Last column: nearest neighbours and their distance in Å.
Fractional coordinates of all 5 atoms:
1 O 0.5000 0.0000 0.0000  2 Bi 2.07
2 O 0.0000 0.5000 0.0000  2 Bi 2.07
3 Cr 0.5000 0.5000 0.5000  4 P 2.92
4 P 0.0000 0.0000 0.5000  2 Bi 2.78, 4 Cr 2.92
5 Bi 0.0000 0.0000 0.0000  4 O 2.07

The calculation puts the distance to the lowest polymorph of the same formula at 554 meV/atom.

---

(2)
CrBiP2O: relaxed, GGA+U.

Cell: 5.2933 5.2933 4.1863 Å, 90.00 90.00 90.00°
Last column: nearest neighbours and their distance in Å.
Fractional coordinates of all 5 atoms:
1 Cr 0.5000 0.5000 0.5000  8 P 3.37, 4 O 3.74
2 P 0.5000 0.0000 0.0000  2 Bi 2.65
3 P 0.0000 0.5000 0.0000  2 Bi 2.65
4 O 0.0000 0.0000 0.5000  2 Bi 2.09
5 Bi 0.0000 0.0000 0.0000  2 O 2.09

The calculation puts the distance to the lowest polymorph of the same formula at 759 meV/atom.

---

(3)
CrBiPO2: relaxed, GGA+U.

Cell: 3.9177 3.9177 4.8919 Å, 90.00 90.00 90.00°
Last column: nearest neighbours and their distance in Å.
Fractional coordinates of all 5 atoms:
1 O 0.5000 0.0000 0.0000  2 Cr 1.96
2 O 0.0000 0.5000 0.0000  2 Cr 1.96
3 P 0.0000 0.0000 0.5000  2 Cr 2.45
4 Cr 0.0000 0.0000 0.0000  4 O 1.96
5 Bi 0.5000 0.5000 0.5000  4 P 2.77

The calculation puts the distance to the lowest polymorph of the same formula at 0 meV/atom.

---

(4)
PaCrBi2O8: relaxed, GGA+U.

Cell: 6.8198 6.8198 6.8198 Å, 122.50 122.50 85.72°
Last column: nearest neighbours and their distance in Å.
Fractional coordinates of all 12 atoms:
1 O 0.3457 0.5749 0.2292  1 Pa 2.02, 1 Bi 2.15
2 O 0.8835 0.6543 0.2292  1 Pa 2.02, 1 Bi 2.15
3 O 0.9079 0.1394 0.2315  1 Cr 1.78
4 O 0.8606 0.0921 0.7685  1 Cr 1.78
5 O 0.4251 0.6543 0.7708  1 Pa 2.02, 1 Bi 2.15
6 O 0.3236 0.0921 0.2315  1 Cr 1.78
7 O 0.9079 0.6764 0.7685  1 Cr 1.78
8 O 0.3457 0.1165 0.7708  1 Pa 2.02, 1 Bi 2.15
9 Bi 0.5000 0.5000 0.0000  4 O 2.15
10 Bi 0.7500 0.2500 0.5000  4 O 2.37
11 Pa 0.2500 0.7500 0.5000  4 O 2.02
12 Cr 0.0000 0.0000 0.0000  4 O 1.78

The value obtained for the total energy is -6.93 eV/atom.

---

(5)
PaCr2BiO8: relaxed, GGA+U.

Cell: 6.0600 6.0600 6.0600 Å, 106.94 106.94 114.66°
Last column: nearest neighbours and their distance in Å.
Fractional coordinates of all 12 atoms:
1 O 0.7300 0.0549 0.6751  1 Cr 1.80
2 O 0.3222 0.5129 0.1907  1 Cr 1.80
3 O 0.3222 0.1316 0.8093  1 Cr 1.80
4 O 0.8684 0.6778 0.1907  1 Cr 1.80
5 O 0.3798 0.0549 0.3249  1 Cr 1.80
6 O 0.9451 0.2700 0.3249  1 Cr 1.80
7 O 0.4871 0.6778 0.8093  1 Cr 1.80
8 O 0.9451 0.6202 0.6751  1 Cr 1.80
9 Cr 0.5000 0.5000 0.0000  4 O 1.80
10 Cr 0.7500 0.2500 0.5000  4 O 1.80
11 Bi 0.0000 0.0000 0.0000  8 O 2.37-2.52
12 Pa 0.2500 0.7500 0.5000  8 O 2.28-2.36

The value obtained for the total energy is -7.69 eV/atom.

---

(6)
PaCrBi2O6: relaxed, GGA+U.

Cell: 6.2418 5.6232 6.8188 Å, 72.08 52.26 66.47°
Last column: nearest neighbours and their distance in Å.
Fractional coordinates of all 10 atoms:
1 Pa 0.3415 0.3169 0.0309  6 O 2.11-2.27
2 O 0.5593 0.2450 0.2099  1 Pa 2.19, 2 Bi 2.32
3 O 0.7094 0.0333 0.8034  1 Cr 2.04, 1 Pa 2.11
4 O 0.0794 0.0512 0.2349  1 Cr 2.06, 1 Pa 2.17
5 O 0.1799 0.3631 0.8010  1 Pa 2.24, 2 Bi 2.25-2.31
6 O 0.4927 0.6583 0.7636  1 Cr 2.10, 1 Pa 2.26
7 O 0.9497 0.6376 0.2511  1 Cr 2.08, 1 Pa 2.27
8 Cr 0.8235 0.8340 0.5344  4 O 2.04-2.10
9 Bi 0.0169 0.9998 0.9503  6 O 2.31-2.58
10 Bi 0.5093 0.5224 0.4356  4 O 2.25-2.51

The value obtained for the total energy is -7.41 eV/atom.

---

(7)
PaCrBiO5: relaxed, GGA+U.

Cell: 6.1472 6.1472 8.2289 Å, 103.79 103.79 103.29°
Last column: nearest neighbours and their distance in Å.
Fractional coordinates of all 16 atoms:
1 O 0.6764 0.6846 0.8823  1 Cr 2.10, 1 Bi 2.17, 1 Pa 2.25
2 O 0.9423 0.0577 0.2500  2 Pa 2.13
3 O 0.2263 0.7814 0.4625  1 Cr 2.08, 1 Pa 2.17
4 O 0.3236 0.3154 0.1177  1 Cr 2.10, 1 Bi 2.17, 1 Pa 2.25
5 O 0.6846 0.6764 0.3823  1 Cr 2.10, 1 Bi 2.17, 1 Pa 2.25
6 O 0.2186 0.7737 0.0375  1 Cr 2.08, 1 Pa 2.17
7 O 0.7737 0.2186 0.5375  1 Cr 2.08, 1 Pa 2.17
8 O 0.0577 0.9423 0.7500  2 Pa 2.13
9 O 0.7814 0.2263 0.9625  1 Cr 2.08, 1 Pa 2.17
10 O 0.3154 0.3236 0.6177  1 Cr 2.10, 1 Bi 2.17, 1 Pa 2.25
11 Bi 0.6774 0.3226 0.2500  2 O 2.17
12 Bi 0.3226 0.6774 0.7500  2 O 2.17
13 Pa 0.0000 0.0000 0.5000  6 O 2.13-2.25
14 Pa 0.0000 0.0000 0.0000  6 O 2.13-2.25
15 Cr 0.6591 0.3409 0.7500  4 O 2.08-2.10
16 Cr 0.3409 0.6591 0.2500  4 O 2.08-2.10

The value obtained for the total energy is -7.94 eV/atom.

---

(8)
PmCr2BiO6: relaxed, GGA+U.

Cell: 5.5861 5.5863 5.5379 Å, 59.71 59.71 60.00°
Last column: nearest neighbours and their distance in Å.
Fractional coordinates of all 10 atoms:
1 Cr 0.5183 0.5183 0.4451  6 O 2.00-2.04
2 Cr 0.0170 0.0170 0.9490  6 O 2.02
3 O 0.7405 0.1821 0.7268  2 Cr 2.02-2.04
4 O 0.1820 0.3508 0.7268  2 Cr 2.02-2.04
5 O 0.8443 0.6879 0.2170  2 Cr 2.00-2.02
6 O 0.3506 0.7407 0.7266  2 Cr 2.02-2.04
7 O 0.6880 0.2505 0.2173  2 Cr 2.00-2.02
8 O 0.2510 0.8442 0.2169  2 Cr 2.00-2.02
9 Pm 0.7809 0.7811 0.6570  6 O 2.34-2.56
10 Bi 0.2891 0.2891 0.1327  6 O 2.39-2.43

The value obtained for the total energy is -7.48 eV/atom.

---

(9)
PmCr2BiO8: relaxed, GGA+U.

Cell: 6.1402 6.1402 6.1402 Å, 105.92 105.92 116.83°
Last column: nearest neighbours and their distance in Å.
Fractional coordinates of all 12 atoms:
1 O 0.3302 0.1493 0.8191  1 Cr 1.73
2 O 0.7578 0.0782 0.6796  1 Cr 1.73
3 O 0.9218 0.2422 0.3204  1 Cr 1.73
4 O 0.3987 0.0782 0.3204  1 Cr 1.73
5 O 0.3302 0.5111 0.1809  1 Cr 1.73
6 O 0.8507 0.6698 0.1809  1 Cr 1.73
7 O 0.4889 0.6698 0.8191  1 Cr 1.73
8 O 0.9218 0.6013 0.6796  1 Cr 1.73
9 Cr 0.7500 0.2500 0.5000  4 O 1.73
10 Cr 0.5000 0.5000 0.0000  4 O 1.73
11 Bi 0.0000 0.0000 0.0000  8 O 2.42-2.51
12 Pm 0.2500 0.7500 0.5000  8 O 2.42-2.49

The value obtained for the total energy is -7.07 eV/atom.

---

(10)
PmCrBiO6: relaxed, GGA+U.

Cell: 5.3505 5.3505 10.1186 Å, 90.00 90.00 120.00°
Last column: nearest neighbours and their distance in Å.
Fractional coordinates of all 18 atoms:
1 Bi 0.6667 0.3333 0.2500  6 O 2.15
2 Bi 0.3333 0.6667 0.7500  6 O 2.15
3 O 0.3736 0.0276 0.6398  1 Cr 1.95, 1 Bi 2.15
4 O 0.0276 0.6540 0.3602  1 Cr 1.95, 1 Bi 2.15
5 O 0.9724 0.3460 0.6398  1 Cr 1.95, 1 Bi 2.15
6 O 0.9724 0.6264 0.8602  1 Cr 1.95, 1 Bi 2.15
7 O 0.6264 0.6540 0.1398  1 Cr 1.95, 1 Bi 2.15
8 O 0.3460 0.3736 0.3602  1 Cr 1.95, 1 Bi 2.15
9 O 0.6264 0.9724 0.3602  1 Cr 1.95, 1 Bi 2.15
10 O 0.6540 0.6264 0.6398  1 Cr 1.95, 1 Bi 2.15
11 O 0.3460 0.9724 0.1398  1 Cr 1.95, 1 Bi 2.15
12 O 0.6540 0.0276 0.8602  1 Cr 1.95, 1 Bi 2.15
13 O 0.0276 0.3736 0.1398  1 Cr 1.95, 1 Bi 2.15
14 O 0.3736 0.3460 0.8602  1 Cr 1.95, 1 Bi 2.15
15 Pm 0.0000 0.0000 0.0000  6 O 2.39
16 Pm 0.0000 0.0000 0.5000  6 O 2.39
17 Cr 0.3333 0.6667 0.2500  6 O 1.95
18 Cr 0.6667 0.3333 0.7500  6 O 1.95

The value obtained for the total energy is -6.90 eV/atom.

---

(11)
Pm2CrBiO6: relaxed, GGA+U.

Cell: 5.3172 5.4748 5.4748 Å, 90.00 90.00 90.00°
Last column: nearest neighbours and their distance in Å.
Fractional coordinates of all 10 atoms:
1 O 0.7388 0.2385 0.2385  1 Cr 1.97
2 O 0.1202 0.5000 0.5000  1 Bi 2.28
3 O 0.7388 0.7615 0.2385  1 Cr 1.97
4 O 0.2387 0.0000 0.0000  1 Cr 1.96
5 O 0.7388 0.2385 0.7615  1 Cr 1.97
6 O 0.7388 0.7615 0.7615  1 Cr 1.97
7 Pm 0.9883 0.5000 0.0000  4 O 2.35
8 Pm 0.9883 0.0000 0.5000  4 O 2.35
9 Cr 0.6074 0.0000 0.0000  5 O 1.96-1.97
10 Bi 0.5487 0.5000 0.5000  5 O 2.26-2.28

The value obtained for the total energy is -7.28 eV/atom.

---

(12)
Cr2BiPtO8: relaxed, GGA+U.

Cell: 4.6739 4.6722 6.3916 Å, 90.00 90.00 91.13°
Last column: nearest neighbours and their distance in Å.
Fractional coordinates of all 12 atoms:
1 O 0.1986 0.8008 0.2354  1 Pt 2.01, 1 Cr 2.01, 1 Bi 2.15
2 O 0.6781 0.6786 0.5000  2 Cr 2.02, 1 Bi 2.10
3 O 0.8014 0.1992 0.2354  1 Pt 2.01, 1 Cr 2.01, 1 Bi 2.15
4 O 0.3047 0.3043 0.0000  1 Pt 1.99, 2 Cr 2.01
5 O 0.8014 0.1992 0.7646  1 Pt 2.01, 1 Cr 2.01, 1 Bi 2.15
6 O 0.3219 0.3214 0.5000  2 Cr 2.02, 1 Bi 2.10
7 O 0.6953 0.6957 0.0000  1 Pt 1.99, 2 Cr 2.01
8 O 0.1986 0.8008 0.7646  1 Pt 2.01, 1 Cr 2.01, 1 Bi 2.15
9 Cr 0.5000 0.5000 0.2430  6 O 2.01-2.02
10 Cr 0.5000 0.5000 0.7570  6 O 2.01-2.02
11 Bi 0.0000 0.0000 0.5000  6 O 2.10-2.15
12 Pt 0.0000 0.0000 0.0000  6 O 1.99-2.01

The value obtained for the total energy is -6.55 eV/atom.

---

(13)
CrBi2PtO8: relaxed, GGA+U.

Cell: 4.8483 4.8095 6.6903 Å, 90.00 90.00 90.02°
Last column: nearest neighbours and their distance in Å.
Fractional coordinates of all 12 atoms:
1 Cr 0.0000 0.0000 0.5000  6 O 2.02-2.06
2 O 0.3016 0.2856 0.0000  1 Pt 2.01, 2 Bi 2.20
3 O 0.1689 0.8152 0.2503  1 Cr 2.06, 1 Pt 2.07, 1 Bi 2.21
4 O 0.1688 0.8152 0.7497  1 Cr 2.06, 1 Pt 2.07, 1 Bi 2.21
5 O 0.3012 0.2889 0.5000  1 Cr 2.02, 2 Bi 2.17
6 O 0.8311 0.1848 0.7497  1 Cr 2.06, 1 Pt 2.07, 1 Bi 2.21
7 O 0.6988 0.7111 0.5000  1 Cr 2.02, 2 Bi 2.17
8 O 0.8312 0.1848 0.2503  1 Cr 2.06, 1 Pt 2.07, 1 Bi 2.21
9 O 0.6984 0.7144 0.0000  1 Pt 2.01, 2 Bi 2.20
10 Bi 0.5000 0.5000 0.7481  6 O 2.17-2.21
11 Bi 0.5000 0.5000 0.2519  6 O 2.17-2.21
12 Pt 0.0000 0.0000 0.0000  6 O 2.01-2.07

The value obtained for the total energy is -6.04 eV/atom.

---

(14)
PuCrBi2O6: relaxed, GGA+U.

Cell: 6.0640 6.0642 5.8379 Å, 58.71 58.71 60.00°
Last column: nearest neighbours and their distance in Å.
Fractional coordinates of all 10 atoms:
1 O 0.0061 0.4870 0.8319  1 Cr 2.06
2 O 0.6749 0.0060 0.8320  1 Cr 2.06
3 O 0.9574 0.6263 0.2711  1 Cr 2.06
4 O 0.6262 0.1453 0.2711  1 Cr 2.06
5 O 0.4871 0.6749 0.8320  1 Cr 2.06
6 O 0.1453 0.9574 0.2711  1 Cr 2.06
7 Bi 0.0313 0.0313 0.9061  6 O 2.33-2.50
8 Bi 0.6010 0.6011 0.1968  6 O 2.33-2.50
9 Pu 0.3162 0.3162 0.0515  6 O 2.33
10 Cr 0.8162 0.8161 0.5516  6 O 2.06

The value obtained for the total energy is -7.71 eV/atom.

---

(15)
RbCr2BiO8: relaxed, GGA+U.

Cell: 5.6409 5.6409 8.3601 Å, 90.00 90.00 120.00°
Last column: nearest neighbours and their distance in Å.
Fractional coordinates of all 12 atoms:
1 O 0.6446 0.7374 0.6765  1 Cr 1.68
2 O 0.3333 0.6667 0.9354  1 Cr 1.62
3 O 0.7374 0.0928 0.3235  1 Cr 1.68
4 O 0.2626 0.9072 0.6765  1 Cr 1.68
5 O 0.3554 0.2626 0.3235  1 Cr 1.68
6 O 0.0928 0.3554 0.6765  1 Cr 1.68
7 O 0.6667 0.3333 0.0646  1 Cr 1.62
8 O 0.9072 0.6446 0.3235  1 Cr 1.68
9 Bi 0.0000 0.0000 0.5000  6 O 2.33
10 Rb 0.0000 0.0000 0.0000  12 O 3.25-3.30
11 Cr 0.6667 0.3333 0.2589  4 O 1.62-1.68
12 Cr 0.3333 0.6667 0.7411  4 O 1.62-1.68

The value obtained for the total energy is -6.34 eV/atom.

---

(16)
RbCr2BiO8: relaxed, GGA+U.

Cell: 5.7584 10.2744 13.4505 Å, 90.00 90.00 90.00°
Last column: nearest neighbours and their distance in Å.
Fractional coordinates of all 48 atoms:
1 O 0.2895 0.0737 0.8913  1 Cr 1.68
2 O 0.2895 0.4263 0.1087  1 Cr 1.68
3 O 0.0551 0.8457 0.8520  1 Cr 1.66
4 O 0.9753 0.6608 0.4001  1 Cr 1.71
5 O 0.5551 0.1543 0.3520  1 Cr 1.66
6 O 0.6847 0.1027 0.5346  1 Cr 1.64
7 O 0.9449 0.3457 0.8520  1 Cr 1.66
8 O 0.9449 0.1543 0.1480  1 Cr 1.66
9 O 0.1847 0.6027 0.9654  1 Cr 1.64
10 O 0.7105 0.9263 0.1087  1 Cr 1.68
11 O 0.3153 0.8973 0.4654  1 Cr 1.64
12 O 0.0551 0.6543 0.1480  1 Cr 1.66
13 O 0.4753 0.3392 0.9001  1 Cr 1.71
14 O 0.7895 0.5737 0.6087  1 Cr 1.68
15 O 0.5551 0.3457 0.6480  1 Cr 1.66
16 O 0.4449 0.6543 0.3520  1 Cr 1.66
17 O 0.4753 0.1608 0.0999  1 Cr 1.71
18 O 0.2105 0.0737 0.6087  1 Cr 1.68
19 O 0.8153 0.1027 0.9654  1 Cr 1.64
20 O 0.0247 0.3392 0.5999  1 Cr 1.71
21 O 0.2105 0.4263 0.3913  1 Cr 1.68
22 O 0.9753 0.8392 0.5999  1 Cr 1.71
23 O 0.8153 0.3973 0.0346  1 Cr 1.64
24 O 0.3153 0.6027 0.5346  1 Cr 1.64
25 O 0.5247 0.6608 0.0999  1 Cr 1.71
26 O 0.7105 0.5737 0.8913  1 Cr 1.68
27 O 0.5247 0.8392 0.9001  1 Cr 1.71
28 O 0.6847 0.3973 0.4654  1 Cr 1.64
29 O 0.0247 0.1608 0.4001  1 Cr 1.71
30 O 0.7895 0.9263 0.3913  1 Cr 1.68
31 O 0.4449 0.8457 0.6480  1 Cr 1.66
32 O 0.1847 0.8973 0.0346  1 Cr 1.64
33 Cr 0.7359 0.4143 0.9185  4 O 1.64-1.71
34 Cr 0.2641 0.5857 0.0815  4 O 1.64-1.71
35 Cr 0.7641 0.0857 0.4185  4 O 1.64-1.71
36 Cr 0.7359 0.0857 0.0815  4 O 1.64-1.71
37 Cr 0.2359 0.9143 0.5815  4 O 1.64-1.71
38 Cr 0.2641 0.9143 0.9185  4 O 1.64-1.71
39 Cr 0.7641 0.4143 0.5815  4 O 1.64-1.71
40 Cr 0.2359 0.5857 0.4185  4 O 1.64-1.71
41 Bi 0.2951 0.2500 0.5000  4 O 2.25-2.38
42 Bi 0.7049 0.7500 0.5000  4 O 2.25-2.38
43 Bi 0.7951 0.7500 0.0000  4 O 2.25-2.38
44 Bi 0.2049 0.2500 0.0000  4 O 2.25-2.38
45 Rb 0.2500 0.5809 0.7500  6 O 2.93-3.26
46 Rb 0.7500 0.4191 0.2500  6 O 2.93-3.26
47 Rb 0.7500 0.0809 0.7500  6 O 2.93-3.26
48 Rb 0.2500 0.9191 0.2500  6 O 2.93-3.26

The value obtained for the total energy is -6.34 eV/atom.

---

(17)
Cr2BiRhO6: relaxed, GGA+U.

Cell: 5.3796 5.3797 5.6376 Å, 61.50 61.50 60.00°
Last column: nearest neighbours and their distance in Å.
Fractional coordinates of all 10 atoms:
1 Bi 0.7943 0.7943 0.6171  6 O 2.31-2.45
2 Rh 0.3211 0.3211 0.0366  6 O 2.04-2.18
3 Cr 0.5209 0.5209 0.4373  6 O 2.00-2.12
4 Cr 0.0091 0.0091 0.9728  6 O 2.01-2.07
5 O 0.8944 0.6279 0.2338  2 Cr 2.00-2.07, 1 Rh 2.18
6 O 0.6279 0.2439 0.2338  2 Cr 2.00-2.07, 1 Rh 2.18
7 O 0.1743 0.3476 0.7499  2 Cr 2.01-2.12, 1 Rh 2.04
8 O 0.3476 0.7282 0.7500  2 Cr 2.01-2.12, 1 Rh 2.04
9 O 0.2439 0.8944 0.2338  2 Cr 2.00-2.07, 1 Rh 2.18
10 O 0.7281 0.1743 0.7500  2 Cr 2.01-2.12, 1 Rh 2.04

The value obtained for the total energy is -6.97 eV/atom.

---

(18)
CrBi2RhO6: relaxed, GGA+U.

Cell: 5.4709 5.7789 7.8409 Å, 90.00 91.31 90.00°
Last column: nearest neighbours and their distance in Å.
Fractional coordinates of all 20 atoms:
1 Cr 0.5000 0.0000 0.0000  6 O 2.03-2.05
2 Cr 0.0000 0.5000 0.5000  6 O 2.03-2.05
3 O 0.1070 0.4667 0.7487  1 Cr 2.03, 1 Rh 2.08
4 O 0.6943 0.3074 0.5501  1 Cr 2.05, 1 Rh 2.10
5 O 0.1943 0.1926 0.0501  1 Cr 2.05, 1 Rh 2.10
6 O 0.1780 0.1936 0.4595  1 Cr 2.05, 1 Rh 2.10
7 O 0.6780 0.3064 0.9595  1 Cr 2.05, 1 Rh 2.10
8 O 0.8220 0.8064 0.5405  1 Cr 2.05, 1 Rh 2.10
9 O 0.3220 0.6936 0.0405  1 Cr 2.05, 1 Rh 2.10
10 O 0.8930 0.5333 0.2513  1 Cr 2.03, 1 Rh 2.08
11 O 0.8057 0.8074 0.9499  1 Cr 2.05, 1 Rh 2.10
12 O 0.3057 0.6926 0.4499  1 Cr 2.05, 1 Rh 2.10
13 O 0.6070 0.0333 0.2487  1 Cr 2.03, 1 Rh 2.08
14 O 0.3930 0.9667 0.7513  1 Cr 2.03, 1 Rh 2.08
15 Bi 0.0126 0.9385 0.2544  4 O 2.29-2.43
16 Bi 0.9874 0.0615 0.7456  4 O 2.29-2.43
17 Bi 0.4874 0.4385 0.2456  4 O 2.29-2.43
18 Bi 0.5126 0.5615 0.7544  4 O 2.29-2.43
19 Rh 0.0000 0.5000 0.0000  6 O 2.08-2.10
20 Rh 0.5000 0.0000 0.5000  6 O 2.08-2.10

The value obtained for the total energy is -6.48 eV/atom.

---

(19)
CrBi2SO: relaxed, GGA+U.

Cell: 5.3046 3.8401 5.3046 Å, 90.00 90.00 90.00°
Last column: nearest neighbours and their distance in Å.
Fractional coordinates of all 5 atoms:
1 S 0.5000 0.5000 0.5000  8 Bi 3.27
2 Bi 0.5000 0.0000 0.0000  2 O 2.65
3 Bi 0.0000 0.0000 0.5000  2 O 2.65
4 O 0.0000 0.0000 0.0000  2 Cr 1.92
5 Cr 0.0000 0.5000 0.0000  2 O 1.92

The value obtained for the total energy is -4.59 eV/atom.

---

(20)
Cr2BiSbO6: relaxed, GGA+U.

Cell: 5.5975 5.5971 5.6413 Å, 60.27 60.25 60.00°
Last column: nearest neighbours and their distance in Å.
Fractional coordinates of all 10 atoms:
1 Bi 0.7988 0.7987 0.6039  6 O 2.32-2.51
2 O 0.8357 0.6935 0.2340  2 Cr 1.99-2.04
3 O 0.1965 0.3333 0.7458  2 Cr 2.03-2.08, 1 Sb 2.17
4 O 0.2366 0.8354 0.2343  2 Cr 1.99-2.04
5 O 0.7246 0.1965 0.7457  2 Cr 2.03-2.08, 1 Sb 2.17
6 O 0.3332 0.7246 0.7458  2 Cr 2.03-2.08, 1 Sb 2.17
7 O 0.6935 0.2366 0.2342  2 Cr 1.99-2.04
8 Sb 0.3072 0.3076 0.0780  3 O 2.17
9 Cr 0.5198 0.5198 0.4406  6 O 1.99-2.08
10 Cr 0.0157 0.0158 0.9528  6 O 2.03-2.04

The value obtained for the total energy is -6.83 eV/atom.